# Ti4Pd3Pt | Alexandria via LeMat-Bulk | PBE | relaxed
# ΔE_f   -0.59 eV per atom
# Total energy   -7.2395 eV/atom
# DOS at the Fermi energy   9.582 states/eV per cell
data_Ti4Pd3Pt
_chemical_formula_sum 'Ti4 Pd3 Pt1'
_symmetry_space_group_name_H-M 'P m m m'
_symmetry_Int_Tables_number 47
_cell_length_a 2.811
_cell_length_b 4.753
_cell_length_c 9.511
_cell_angle_alpha 90.00
_cell_angle_beta 90.00
_cell_angle_gamma 90.00
loop_
_symmetry_equiv_pos_as_xyz
'x,y,z'
'-x,-y,-z'
'-x,-y,z'
'x,y,-z'
'x,-y,-z'
'-x,y,z'
'-x,y,-z'
'x,-y,z'
loop_
_atom_site_label
_atom_site_type_symbol
_atom_site_fract_x
_atom_site_fract_y
_atom_site_fract_z
_atom_site_occupancy
Ti1 Ti 0.000 0.000 0.000 1
Ti2 Ti 0.000 0.000 0.500 1
Ti3 Ti 0.000 0.500 0.248 1
Pd1 Pd 0.500 0.000 0.254 1
Pd2 Pd 0.500 0.500 0.500 1
Pt1 Pt 0.500 0.500 0.000 1